VASP calculation (PBE-GGA) on a relaxed LiTc2Rh crystal.

Output
As for the size of the total moment: 0.000 μB per atom. Its energy above the lowest structure with this stoichiometry is 44 meV per atom. The electronic total energy is -0.27236 hartree per atom. For the energy relative to the elements, the calculation gives 0.088 eV/atom.

a = 2.7174 Å, b = 3.8238 Å, c = 5.3095 Å
α = 90.00°, β = 90.00°, γ = 90.00°
Space group Pmm2 (No. 25)
Unique sites:
Li 0.0000 0.0000 0.0000
Tc 0.0000 0.0000 0.4994
Tc 0.5000 0.5000 0.7366
Rh 0.5000 0.5000 0.2098

=====

VASP calculation (PBE-GGA) on a relaxed Li2TcRh crystal.

Output
As for the size of the total moment: 0.241 μB per atom. Its energy above the lowest structure with this stoichiometry is 77 meV per atom. The electronic total energy is -0.19399 hartree per atom. For the energy relative to the elements, the calculation gives 0.108 eV/atom.

a = 2.6599 Å, b = 2.6599 Å, c = 27.4391 Å
α = 90.00°, β = 90.00°, γ = 120.00°
Space group R-3m (No. 166, hexagonal axes)
Unique sites:
Li 0.0000 0.0000 0.2465
Tc 0.0000 0.0000 0.0000
Rh 0.0000 0.0000 0.5000

=====

VASP calculation (PBE-GGA) on a relaxed LiTcRh2 crystal.

Output
As for the size of the total moment: 0.005 μB per atom. Its energy above the lowest structure with this stoichiometry is 315 meV per atom. The electronic total energy is -0.24046 hartree per atom. For the energy relative to the elements, the calculation gives 0.202 eV/atom.

a = 6.0318 Å, b = 6.0318 Å, c = 6.0318 Å
α = 90.00°, β = 90.00°, γ = 90.00°
Space group F-43m (No. 216)
Unique sites:
Li 0.0000 0.0000 0.0000
Tc 0.2500 0.2500 0.7500
Rh 0.0000 0.0000 0.5000
Rh 0.2500 0.2500 0.2500

=====

VASP calculation (PBE-GGA) on a relaxed LiTc3Rh crystal.

Output
As for the size of the total moment: 0.000 μB per atom. Its energy above the lowest structure with this stoichiometry is 0 meV per atom. The electronic total energy is -0.25836 hartree per atom. For the energy relative to the elements, the calculation gives 1.042 eV/atom.

a = 4.0907 Å, b = 4.0907 Å, c = 4.0907 Å
α = 90.00°, β = 90.00°, γ = 90.00°
Space group Pm-3m (No. 221)
Unique sites:
Li 0.0000 0.0000 0.0000
Tc 0.0000 0.0000 0.5000
Rh 0.5000 0.5000 0.5000

=====

VASP calculation (PBE-GGA) on a relaxed LiTcRh2 crystal.

Output
As for the size of the total moment: 0.000 μB per atom. Its energy above the lowest structure with this stoichiometry is 102 meV per atom. The electronic total energy is -0.24827 hartree per atom. For the energy relative to the elements, the calculation gives -0.010 eV/atom.

a = 5.6462 Å, b = 7.1962 Å, c = 2.7228 Å
α = 90.00°, β = 90.00°, γ = 90.00°
Space group Cmmm (No. 65)
Unique sites:
Li 0.0000 0.0000 0.0000
Tc 0.0000 0.5000 0.0000
Rh 0.2500 0.2500 0.5000

=====

VASP calculation (PBE-GGA) on a relaxed LiTc2Rh crystal.

Output
As for the size of the total moment: 0.000 μB per atom. Its energy above the lowest structure with this stoichiometry is 105 meV per atom. The electronic total energy is -0.27012 hartree per atom. For the energy relative to the elements, the calculation gives 0.149 eV/atom.

a = 2.8401 Å, b = 4.5139 Å, c = 9.0291 Å
α = 90.00°, β = 90.00°, γ = 90.00°
Space group Cmm2 (No. 35)
Unique sites:
Li 0.0000 0.0000 0.0000
Tc 0.0000 0.0000 0.5048
Tc 0.0000 0.5000 0.2620
Rh 0.0000 0.5000 0.7579

=====

VASP calculation (PBE-GGA) on a relaxed LiTc2Rh crystal.

Output
As for the size of the total moment: 0.000 μB per atom. Its energy above the lowest structure with this stoichiometry is 603 meV per atom. The electronic total energy is -0.25179 hartree per atom. For the energy relative to the elements, the calculation gives 0.648 eV/atom.

a = 7.1775 Å, b = 7.1775 Å, c = 4.8519 Å
α = 90.00°, β = 90.00°, γ = 90.00°
Space group I-42d (No. 122)
Unique sites:
Li 0.0000 0.0000 0.0000
Tc 0.2216 0.2500 0.6250
Rh 0.0000 0.0000 0.5000

=====

VASP calculation (PBE-GGA) on a relaxed LiTc2Rh crystal.

Output
As for the size of the total moment: 0.000 μB per atom. Its energy above the lowest structure with this stoichiometry is 14 meV per atom. The electronic total energy is -0.27346 hartree per atom. For the energy relative to the elements, the calculation gives 0.058 eV/atom.

a = 2.6544 Å, b = 4.1812 Å, c = 4.9990 Å
α = 90.00°, β = 97.78°, γ = 90.00°
Space group Pm (No. 6)
Unique sites:
Li 0.0000 0.0000 0.0000
Tc 0.3052 0.5000 0.7627
Tc 0.4930 0.0000 0.5056
Rh 0.8791 0.5000 0.2326

=====

VASP calculation (PBE-GGA) on a relaxed LiTcRh2 crystal.

Output
As for the size of the total moment: 0.000 μB per atom. Its energy above the lowest structure with this stoichiometry is 243 meV per atom. The electronic total energy is -0.24312 hartree per atom. For the energy relative to the elements, the calculation gives 0.130 eV/atom.

a = 2.6781 Å, b = 2.6781 Å, c = 7.8057 Å
α = 90.00°, β = 90.00°, γ = 90.00°
Space group P4mm (No. 99)
Unique sites:
Li 0.0000 0.0000 0.0000
Tc 0.5000 0.5000 0.7320
Rh 0.0000 0.0000 0.4863
Rh 0.5000 0.5000 0.2342

=====

VASP calculation (PBE-GGA) on a relaxed Li2TcRh2 crystal.

Output
As for the size of the total moment: 0.000 μB per atom. Its energy above the lowest structure with this stoichiometry is 93 meV per atom. The electronic total energy is -0.20465 hartree per atom. For the energy relative to the elements, the calculation gives 0.211 eV/atom.

a = 6.8655 Å, b = 6.8655 Å, c = 2.7893 Å
α = 90.00°, β = 90.00°, γ = 90.00°
Space group P4/mbm (No. 127)
Unique sites:
Li 0.1475 0.3525 0.0000
Tc 0.0000 0.0000 0.5000
Rh 0.1516 0.6516 0.5000

=====

VASP calculation (PBE-GGA) on a relaxed Li2TcRh crystal.

Output
As for the size of the total moment: 0.000 μB per atom. Its energy above the lowest structure with this stoichiometry is 180 meV per atom. The electronic total energy is -0.19022 hartree per atom. For the energy relative to the elements, the calculation gives 0.210 eV/atom.

a = 3.5726 Å, b = 3.5726 Å, c = 4.3974 Å
α = 90.00°, β = 90.00°, γ = 90.00°
Space group P4/mmm (No. 123)
Unique sites:
Li 0.0000 0.5000 0.0000
Tc 0.0000 0.0000 0.5000
Rh 0.5000 0.5000 0.5000

=====

VASP calculation (PBE-GGA) on a relaxed LiTcRh2 crystal.

Output
As for the size of the total moment: 0.000 μB per atom. Its energy above the lowest structure with this stoichiometry is 174 meV per atom. The electronic total energy is -0.24565 hartree per atom. For the energy relative to the elements, the calculation gives 0.061 eV/atom.

a = 2.7989 Å, b = 4.5776 Å, c = 8.8630 Å
α = 90.00°, β = 90.00°, γ = 90.00°
Space group Cmmm (No. 65)
Unique sites:
Li 0.0000 0.0000 0.0000
Tc 0.0000 0.0000 0.5000
Rh 0.0000 0.5000 0.2471